# 1
# ErTc4

A geometry-optimized ErTc4 structure (PBE, Alexandria).

a b c (Å): 4.703 4.703 4.703
angles (deg): 90.00 90.00 90.00
Space group Pm-3m (No. 221)
Inequivalent atoms, fractional coordinates:
Er: 0.000 0.000 0.000 (multiplicity 1)
Tc: 0.000 0.000 0.500 (multiplicity 3)
Tc: 0.500 0.500 0.500 (multiplicity 1)

Values from the calculation:
E_form (eV per atom): 2.492



# 2
# GaAu

A geometry-optimized GaAu structure (PBE, Alexandria).

a b c (Å): 3.617 10.250 6.569
angles (deg): 90.00 90.00 90.00
Space group Pmmn (No. 59, origin choice 2)
Inequivalent atoms, fractional coordinates:
Ga: 0.250 0.107 0.083 (multiplicity 4)
Ga: 0.250 0.750 0.523 (multiplicity 2)
Au: 0.250 0.250 0.761 (multiplicity 2)
Au: 0.250 0.519 0.673 (multiplicity 4)

Values from the calculation:
E_form (eV per atom): -0.127



# 3
# Sr3Mg2Pd4

A geometry-optimized Sr3Mg2Pd4 structure (PBE, Alexandria).

a b c (Å): 11.162 4.500 9.137
angles (deg): 90.00 99.97 90.00
Space group C2/m (No. 12)
Inequivalent atoms, fractional coordinates:
Sr: 0.000 0.000 0.000 (multiplicity 2)
Sr: 0.123 0.500 0.383 (multiplicity 4)
Mg: 0.180 0.500 0.789 (multiplicity 4)
Pd: 0.090 0.000 0.634 (multiplicity 4)
Pd: 0.229 0.500 0.090 (multiplicity 4)

Values from the calculation:
E_form (eV per atom): -0.609



# 4
# TbPuMg

A geometry-optimized TbPuMg structure (PBE, Alexandria).

a b c (Å): 3.339 3.339 14.870
angles (deg): 90.00 90.00 90.00
Space group I4mm (No. 107)
Inequivalent atoms, fractional coordinates:
Tb: 0.000 0.000 0.000 (multiplicity 2)
Pu: 0.000 0.000 0.327 (multiplicity 2)
Mg: 0.000 0.000 0.664 (multiplicity 2)

Values from the calculation:
Excess energy over the best structure of this formula in the dataset (meV/atom): 0
E_form (eV per atom): 0.114



# 5
# Pu2CuRe

A geometry-optimized Pu2CuRe structure (PBE, Alexandria).

a b c (Å): 5.345 5.345 2.780
angles (deg): 90.00 90.00 90.00
Space group P4/mmm (No. 123)
Inequivalent atoms, fractional coordinates:
Pu: 0.000 0.500 0.000 (multiplicity 2)
Cu: 0.000 0.000 0.500 (multiplicity 1)
Re: 0.500 0.500 0.500 (multiplicity 1)

Values from the calculation:
E_form (eV per atom): 0.245



# 6
# Cd2HgRh

A geometry-optimized Cd2HgRh structure (PBE, Alexandria).

a b c (Å): 3.0712 3.0712 29.6735
angles (deg): 90.00 90.00 120.00
Space group R-3m (No. 166, hexagonal axes)
Inequivalent atoms, fractional coordinates:
Cd: 0.0000 0.0000 0.2394 (multiplicity 6)
Hg: 0.0000 0.0000 0.0000 (multiplicity 3)
Rh: 0.0000 0.0000 0.5000 (multiplicity 3)

Values from the calculation:
E_form (eV per atom): 0.061



# 7
# TaIn3N

A geometry-optimized TaIn3N structure (PBE, Alexandria).

a b c (Å): 4.597 4.597 4.597
angles (deg): 90.00 90.00 90.00
Space group Pm-3m (No. 221)
Inequivalent atoms, fractional coordinates:
Ta: 0.000 0.000 0.000 (multiplicity 1)
In: 0.000 0.500 0.500 (multiplicity 3)
N: 0.500 0.500 0.500 (multiplicity 1)

Values from the calculation:
E_form (uncorrected) (eV per atom): 0.922
Excess energy over the best structure of this formula in the dataset (meV/atom): 0